A relaxed GaReAgO2 crystal, computed with PBE.

Computed properties:
Total magnetization (μB/cell): 2.8
SG: P4/mmm, No. 123
ΔE_f (raw) (eV per formula unit): 6.0
D(E_F) (states/eV/f.u.): 4.7

abc: 3.9447 3.9447 5.1866
angles: 90.00 90.00 90.00
Fractional positions:
Ga 0.0000 0.0000 0.0000
Re 0.5000 0.5000 0.0000
Ag 0.0000 0.0000 0.5000
O 0.0000 0.5000 0.5000
O 0.5000 0.0000 0.5000